No. 1
# PBE MnAg2Cl, optimized geometry
# ΔE_f (raw) ... 0.226 eV/atom
# Relative energy among the computed polymorphs ... 27.1 kJ/mol of atoms
# Fermi-level density of states ... 2.03 states/eV per cell
# Total magnetic moment ... 4.60 μB/f.u.
data_MnAg2Cl
_cell_length_a 6.074
_cell_length_b 6.074
_cell_length_c 6.074
_cell_angle_alpha 143.32
_cell_angle_beta 143.32
_cell_angle_gamma 52.85
_symmetry_space_group_name_H-M 'P 1'
_symmetry_Int_Tables_number 1
loop_
_symmetry_equiv_pos_as_xyz
'x,y,z'
loop_
_atom_site_label
_atom_site_fract_x
_atom_site_fract_y
_atom_site_fract_z
Ag1 0.000 0.000 0.000
Ag2 0.500 0.500 0.000
Cl1 0.250 0.750 0.500
Mn1 0.750 0.250 0.500

No. 2
# PBE Mn4AgCl, optimized geometry
# ΔE_f (raw) ... 0.736 eV/atom
# Fermi-level density of states ... 5.76 states/eV per cell
# Total magnetic moment ... 16.12 μB/f.u.
data_Mn4AgCl
_cell_length_a 5.367
_cell_length_b 5.367
_cell_length_c 5.367
_cell_angle_alpha 60.00
_cell_angle_beta 60.00
_cell_angle_gamma 60.00
_symmetry_space_group_name_H-M 'P 1'
_symmetry_Int_Tables_number 1
loop_
_symmetry_equiv_pos_as_xyz
'x,y,z'
loop_
_atom_site_label
_atom_site_fract_x
_atom_site_fract_y
_atom_site_fract_z
Mn1 0.872 0.376 0.376
Mn2 0.376 0.376 0.872
Mn3 0.376 0.872 0.376
Mn4 0.376 0.376 0.376
Ag1 0.750 0.750 0.750
Cl1 0.000 0.000 0.000

No. 3
# PBE MnAg2Cl, optimized geometry
# ΔE_f (raw) ... -0.019 eV/atom
# Relative energy among the computed polymorphs ... 3.4 kJ/mol of atoms
# Fermi-level density of states ... 1.44 states/eV per cell
# Total magnetic moment ... 4.38 μB/f.u.
data_MnAg2Cl
_cell_length_a 3.062
_cell_length_b 3.062
_cell_length_c 8.513
_cell_angle_alpha 90.00
_cell_angle_beta 90.00
_cell_angle_gamma 89.96
_symmetry_space_group_name_H-M 'P 1'
_symmetry_Int_Tables_number 1
loop_
_symmetry_equiv_pos_as_xyz
'x,y,z'
loop_
_atom_site_label
_atom_site_fract_x
_atom_site_fract_y
_atom_site_fract_z
Ag1 0.000 0.000 0.974
Ag2 0.500 0.500 0.202
Cl1 0.000 0.000 0.576
Mn1 0.500 0.500 0.748

No. 4
# PBE MnAg3Cl, optimized geometry
# ΔE_f (raw) ... 0.876 eV/atom
# Relative energy among the computed polymorphs ... 6.3 kJ/mol of atoms
# Fermi-level density of states ... 2.05 states/eV per cell
# Total magnetic moment ... 4.84 μB/f.u.
data_MnAg3Cl
_cell_length_a 5.009
_cell_length_b 5.009
_cell_length_c 5.009
_cell_angle_alpha 90.00
_cell_angle_beta 90.00
_cell_angle_gamma 90.00
_symmetry_space_group_name_H-M 'P 1'
_symmetry_Int_Tables_number 1
loop_
_symmetry_equiv_pos_as_xyz
'x,y,z'
loop_
_atom_site_label
_atom_site_fract_x
_atom_site_fract_y
_atom_site_fract_z
Mn1 0.500 0.500 0.500
Ag1 0.000 0.500 0.000
Ag2 0.000 0.000 0.500
Ag3 0.500 0.000 0.000
Cl1 0.000 0.000 0.000

No. 5
# PBE Mn3Ag2Cl8, optimized geometry
# ΔE_f (raw) ... -0.877 eV/atom
# Fermi-level density of states ... 0.00 states/eV per cell
# Total magnetic moment ... 15.00 μB/f.u.
data_Mn3Ag2Cl8
_cell_length_a 6.551
_cell_length_b 7.504
_cell_length_c 7.504
_cell_angle_alpha 59.74
_cell_angle_beta 81.38
_cell_angle_gamma 81.38
_symmetry_space_group_name_H-M 'P 1'
_symmetry_Int_Tables_number 1
loop_
_symmetry_equiv_pos_as_xyz
'x,y,z'
loop_
_atom_site_label
_atom_site_fract_x
_atom_site_fract_y
_atom_site_fract_z
Mn1 0.500 0.000 0.000
Mn2 0.000 0.746 0.254
Mn3 0.000 0.254 0.746
Ag1 0.399 0.718 0.718
Ag2 0.601 0.282 0.282
Cl1 0.904 0.388 0.388
Cl2 0.096 0.612 0.612
Cl3 0.865 0.895 0.895
Cl4 0.135 0.105 0.105
Cl5 0.637 0.347 0.881
Cl6 0.637 0.881 0.347
Cl7 0.363 0.119 0.653
Cl8 0.363 0.653 0.119

No. 6
# PBE MnAgCl3, optimized geometry
# ΔE_f (raw) ... -0.821 eV/atom
# Relative energy among the computed polymorphs ... 0.0 kJ/mol of atoms
# Fermi-level density of states ... 0.00 states/eV per cell
# Total magnetic moment ... 5.00 μB/f.u.
data_MnAgCl3
_cell_length_a 6.626
_cell_length_b 6.626
_cell_length_c 7.278
_cell_angle_alpha 103.69
_cell_angle_beta 103.69
_cell_angle_gamma 120.46
_symmetry_space_group_name_H-M 'P 1'
_symmetry_Int_Tables_number 1
loop_
_symmetry_equiv_pos_as_xyz
'x,y,z'
loop_
_atom_site_label
_atom_site_fract_x
_atom_site_fract_y
_atom_site_fract_z
Mn1 0.830 0.170 0.500
Mn2 0.170 0.830 0.500
Ag1 0.669 0.669 0.892
Ag2 0.331 0.331 0.108
Cl1 0.246 0.613 0.723
Cl2 0.387 0.754 0.277
Cl3 0.016 0.016 0.271
Cl4 0.984 0.984 0.729
Cl5 0.613 0.246 0.723
Cl6 0.754 0.387 0.277

No. 7
# PBE MnAgCl, optimized geometry
# ΔE_f (raw) ... 0.299 eV/atom
# Relative energy among the computed polymorphs ... 41.3 kJ/mol of atoms
# Fermi-level density of states ... 2.15 states/eV per cell
# Total magnetic moment ... 4.75 μB/f.u.
data_MnAgCl
_cell_length_a 4.560
_cell_length_b 4.560
_cell_length_c 4.560
_cell_angle_alpha 60.00
_cell_angle_beta 60.00
_cell_angle_gamma 60.00
_symmetry_space_group_name_H-M 'P 1'
_symmetry_Int_Tables_number 1
loop_
_symmetry_equiv_pos_as_xyz
'x,y,z'
loop_
_atom_site_label
_atom_site_fract_x
_atom_site_fract_y
_atom_site_fract_z
Ag1 0.000 0.000 0.000
Cl1 0.500 0.500 0.500
Mn1 0.250 0.250 0.250

No. 8
# PBE MnAg2Cl6, optimized geometry
# ΔE_f (raw) ... -0.668 eV/atom
# Total magnetic moment ... 2.98 μB/f.u.
data_MnAg2Cl6
_cell_length_a 6.256
_cell_length_b 6.592
_cell_length_c 10.882
_cell_angle_alpha 89.87
_cell_angle_beta 90.00
_cell_angle_gamma 90.00
_symmetry_space_group_name_H-M 'P 1'
_symmetry_Int_Tables_number 1
loop_
_symmetry_equiv_pos_as_xyz
'x,y,z'
loop_
_atom_site_label
_atom_site_fract_x
_atom_site_fract_y
_atom_site_fract_z
Mn1 0.500 0.500 0.000
Mn2 0.000 0.000 0.500
Ag1 0.500 0.001 0.192
Ag2 0.000 0.499 0.308
Ag3 0.000 0.501 0.692
Ag4 0.500 0.999 0.808
Cl1 0.208 0.146 0.653
Cl2 0.218 0.149 0.353
Cl3 0.290 0.218 0.002
Cl4 0.790 0.282 0.498
Cl5 0.718 0.351 0.147
Cl6 0.708 0.354 0.847
Cl7 0.792 0.854 0.347
Cl8 0.782 0.851 0.647
Cl9 0.710 0.782 0.998
Cl10 0.210 0.718 0.502
Cl11 0.282 0.649 0.853
Cl12 0.292 0.646 0.153

No. 9
# PBE MnAg2Cl, optimized geometry
# ΔE_f (raw) ... 0.334 eV/atom
# Relative energy among the computed polymorphs ... 37.5 kJ/mol of atoms
# Fermi-level density of states ... 1.41 states/eV per cell
# Total magnetic moment ... 4.18 μB/f.u.
data_MnAg2Cl
_cell_length_a 4.740
_cell_length_b 4.740
_cell_length_c 4.740
_cell_angle_alpha 60.00
_cell_angle_beta 60.00
_cell_angle_gamma 60.00
_symmetry_space_group_name_H-M 'P 1'
_symmetry_Int_Tables_number 1
loop_
_symmetry_equiv_pos_as_xyz
'x,y,z'
loop_
_atom_site_label
_atom_site_fract_x
_atom_site_fract_y
_atom_site_fract_z
Ag1 0.000 0.000 0.000
Ag2 0.250 0.250 0.250
Cl1 0.500 0.500 0.500
Mn1 0.750 0.750 0.750

No. 10
# PBE MnAg6Cl12, optimized geometry
# ΔE_f (raw) ... -0.516 eV/atom
# Fermi-level density of states ... 9.53 states/eV per cell
# Total magnetic moment ... 1.97 μB/f.u.
data_MnAg6Cl12
_cell_length_a 7.909
_cell_length_b 7.909
_cell_length_c 7.909
_cell_angle_alpha 88.90
_cell_angle_beta 88.90
_cell_angle_gamma 88.90
_symmetry_space_group_name_H-M 'P 1'
_symmetry_Int_Tables_number 1
loop_
_symmetry_equiv_pos_as_xyz
'x,y,z'
loop_
_atom_site_label
_atom_site_fract_x
_atom_site_fract_y
_atom_site_fract_z
Mn1 0.000 0.000 0.000
Ag1 0.107 0.297 0.597
Ag2 0.703 0.403 0.893
Ag3 0.403 0.893 0.703
Ag4 0.893 0.703 0.403
Ag5 0.297 0.597 0.107
Ag6 0.597 0.107 0.297
Cl1 0.401 0.182 0.566
Cl2 0.182 0.566 0.401
Cl3 0.566 0.401 0.182
Cl4 0.599 0.818 0.434
Cl5 0.818 0.434 0.599
Cl6 0.434 0.599 0.818
Cl7 0.025 0.976 0.713
Cl8 0.287 0.975 0.024
Cl9 0.024 0.287 0.975
Cl10 0.975 0.024 0.287
Cl11 0.713 0.025 0.976
Cl12 0.976 0.713 0.025

No. 11
# PBE Mn3Ag5Cl12, optimized geometry
# ΔE_f (raw) ... -0.638 eV/atom
# Fermi-level density of states ... 14.31 states/eV per cell
# Total magnetic moment ... 14.00 μB/f.u.
data_Mn3Ag5Cl12
_cell_length_a 14.092
_cell_length_b 14.092
_cell_length_c 14.092
_cell_angle_alpha 109.47
_cell_angle_beta 109.47
_cell_angle_gamma 109.47
_symmetry_space_group_name_H-M 'P 1'
_symmetry_Int_Tables_number 1
loop_
_symmetry_equiv_pos_as_xyz
'x,y,z'
loop_
_atom_site_label
_atom_site_fract_x
_atom_site_fract_y
_atom_site_fract_z
Mn1 0.750 0.375 0.125
Mn2 0.875 0.750 0.125
Mn3 0.375 0.750 0.625
Mn4 0.250 0.125 0.375
Mn5 0.875 0.125 0.250
Mn6 0.375 0.625 0.250
Mn7 0.625 0.375 0.750
Mn8 0.125 0.875 0.750
Mn9 0.750 0.875 0.625
Mn10 0.625 0.250 0.375
Mn11 0.125 0.250 0.875
Mn12 0.250 0.625 0.875
Ag1 0.125 0.375 0.250
Ag2 0.000 0.500 0.000
Ag3 0.000 0.000 0.000
Ag4 0.375 0.250 0.125
Ag5 0.500 0.000 0.500
Ag6 0.500 0.500 0.000
Ag7 0.125 0.750 0.375
Ag8 0.750 0.125 0.875
Ag9 0.750 0.625 0.375
Ag10 0.375 0.125 0.750
Ag11 0.625 0.875 0.250
Ag12 0.500 0.500 0.500
Ag13 0.500 0.000 0.000
Ag14 0.000 0.000 0.500
Ag15 0.250 0.375 0.625
Ag16 0.250 0.875 0.125
Ag17 0.000 0.500 0.500
Ag18 0.875 0.250 0.625
Ag19 0.625 0.750 0.875
Ag20 0.875 0.625 0.750
Cl1 0.622 0.179 0.983
Cl2 0.362 0.483 0.304
Cl3 0.017 0.321 0.378
Cl4 0.483 0.122 0.179
Cl5 0.442 0.622 0.638
Cl6 0.017 0.696 0.138
Cl7 0.362 0.878 0.558
Cl8 0.196 0.058 0.179
Cl9 0.696 0.017 0.638
Cl10 0.622 0.442 0.138
Cl11 0.878 0.517 0.321
Cl12 0.862 0.804 0.983
Cl13 0.179 0.622 0.483
Cl14 0.321 0.304 0.942
Cl15 0.942 0.804 0.321
Cl16 0.558 0.179 0.696
Cl17 0.942 0.138 0.122
Cl18 0.517 0.638 0.196
Cl19 0.862 0.058 0.378
Cl20 0.179 0.558 0.196
Cl21 0.321 0.017 0.878
Cl22 0.696 0.679 0.558
Cl23 0.804 0.862 0.483
Cl24 0.878 0.362 0.058
Cl25 0.304 0.321 0.442
Cl26 0.196 0.138 0.517
Cl27 0.122 0.638 0.942
Cl28 0.138 0.942 0.622
Cl29 0.679 0.983 0.122
Cl30 0.821 0.442 0.804
Cl31 0.483 0.362 0.804
Cl32 0.442 0.821 0.304
Cl33 0.058 0.862 0.878
Cl34 0.058 0.196 0.679
Cl35 0.821 0.378 0.517
Cl36 0.138 0.196 0.017
Cl37 0.679 0.696 0.058
Cl38 0.304 0.983 0.362
Cl39 0.378 0.558 0.862
Cl40 0.122 0.483 0.679
Cl41 0.804 0.942 0.821
Cl42 0.638 0.122 0.442
Cl43 0.517 0.878 0.821
Cl44 0.983 0.304 0.862
Cl45 0.558 0.378 0.362
Cl46 0.983 0.679 0.622
Cl47 0.638 0.517 0.696
Cl48 0.378 0.821 0.017

No. 12
# PBE MnAg3Cl, optimized geometry
# ΔE_f (raw) ... 0.811 eV/atom
# Relative energy among the computed polymorphs ... 0.0 kJ/mol of atoms
# Fermi-level density of states ... 7.19 states/eV per cell
# Total magnetic moment ... 4.56 μB/f.u.
data_MnAg3Cl
_cell_length_a 5.057
_cell_length_b 5.057
_cell_length_c 5.057
_cell_angle_alpha 90.00
_cell_angle_beta 90.00
_cell_angle_gamma 90.00
_symmetry_space_group_name_H-M 'P 1'
_symmetry_Int_Tables_number 1
loop_
_symmetry_equiv_pos_as_xyz
'x,y,z'
loop_
_atom_site_label
_atom_site_fract_x
_atom_site_fract_y
_atom_site_fract_z
Mn1 0.000 0.000 0.000
Ag1 0.000 0.500 0.000
Ag2 0.000 0.000 0.500
Ag3 0.500 0.000 0.000
Cl1 0.500 0.500 0.500